(1)
# NaP5Au3

An optimized crystal structure of NaP5Au3 (PBE, the Open Quantum Materials Database).

Unit cell a=6.6734 b=6.6734 c=5.2370 alpha=90.00 beta=90.00 gamma=120.00
Fractional coordinates of all 9 atoms:
P  0.6667  0.3333  0.7992
P  0.6667  0.3333  0.2008
P  0.0000  0.0000  0.5000
P  0.3333  0.6667  0.7992
P  0.3333  0.6667  0.2008
Au  0.0000  0.5000  0.5000
Au  0.5000  0.0000  0.5000
Au  0.5000  0.5000  0.5000
Na  0.0000  0.0000  0.0000

Summary:
calculated total energy	-3.937	eV/atom

(2)
# NaPAu

An optimized crystal structure of NaPAu (PBE, the Open Quantum Materials Database).

Unit cell a=5.4620 b=5.4620 c=6.1436 alpha=119.92 beta=119.92 gamma=64.27
Fractional coordinates of all 6 atoms:
Na  0.1226  0.1226  0.3633
Na  0.8774  0.8774  0.6367
P  0.4949  0.4949  0.3119
P  0.5051  0.5051  0.6881
Au  0.0000  0.5000  0.0000
Au  0.5000  0.0000  0.0000

Summary:
calculated total energy	-3.682	eV/atom

(3)
# Na4P2PtAu

An optimized crystal structure of Na4P2PtAu (PBE, the Open Quantum Materials Database).

Unit cell a=5.5466 b=5.5466 c=5.5614 alpha=90.11 beta=90.11 gamma=103.40
Fractional coordinates of all 8 atoms:
Na  0.8271  0.4691  0.7450
Na  0.5309  0.1729  0.2550
Na  0.1729  0.5309  0.2550
Na  0.4691  0.8271  0.7450
P  0.7185  0.7185  0.2589
P  0.2815  0.2815  0.7411
Au  0.0000  0.0000  0.0000
Pt  0.0000  0.0000  0.5000

Summary:
calculated total energy	-3.652	eV/atom

(4)
# Rb3NaP2Au2

An optimized crystal structure of Rb3NaP2Au2 (PBE, the Open Quantum Materials Database).

Unit cell a=6.2657 b=6.4255 c=6.2736 alpha=90.00 beta=106.16 gamma=90.00
Fractional coordinates of all 8 atoms:
Au  0.5109  0.7511  0.5056
Au  0.5109  0.2489  0.5056
P  0.7518  0.5000  0.7411
P  0.2469  0.0000  0.2932
Rb  0.9787  0.5000  0.3190
Rb  0.6795  0.0000  0.0283
Rb  0.3144  0.5000  0.9637
Na  0.0069  0.0000  0.6434

Summary:
calculated total energy	-3.122	eV/atom

(5)
# RbNaPAu

An optimized crystal structure of RbNaPAu (PBE, the Open Quantum Materials Database).

Unit cell a=6.4075 b=6.0359 c=6.0359 alpha=107.14 beta=90.00 gamma=90.00
Fractional coordinates of all 8 atoms:
Na  0.0000  0.0255  0.6683
Na  0.0000  0.6683  0.0255
Rb  0.5000  0.3193  0.9735
Rb  0.5000  0.9735  0.3193
Au  0.2393  0.5094  0.5094
Au  0.7607  0.5094  0.5094
P  0.0000  0.2460  0.2460
P  0.5000  0.7485  0.7485

Summary:
calculated total energy	-3.132	eV/atom
offset from the most stable computed form	0.74	kcal/mol of atoms

(6)
# RbNaPAu

An optimized crystal structure of RbNaPAu (PBE, the Open Quantum Materials Database).

Unit cell a=6.1791 b=5.9239 c=6.1962 alpha=90.00 beta=103.02 gamma=90.00
Fractional coordinates of all 8 atoms:
P  0.7779  0.2500  0.7167
P  0.2221  0.7500  0.2833
Na  0.0187  0.2500  0.3639
Na  0.9813  0.7500  0.6361
Rb  0.6841  0.7500  0.0370
Rb  0.3159  0.2500  0.9630
Au  0.5000  0.0000  0.5000
Au  0.5000  0.5000  0.5000

Summary:
calculated total energy	-3.164	eV/atom
offset from the most stable computed form	0.00	kcal/mol of atoms

> What is the formula in the third record?

Na4P2PtAu